# 1
First-principles (PBE) data for crystalline AlPt2Cl at its relaxed geometry, as listed in Alexandria.

The space group is C2/m (No. 12) and the conventional cell measures 7.4317, 3.3914 and 6.9698 Å, with angles of 90.00, 104.45 and 90.00 degrees. The asymmetric unit holds Al at (0.0000, 0.0000, 0.0000), Pt at (0.1567, 0.5000, 0.8405) and Cl at (0.0000, 0.5000, 0.5000).

The energy above the most stable polymorph in this dataset is 0.50 eV/f.u. As for the uncorrected formation energy: -0.3925 eV per atom.

# 2
First-principles (PBE) data for crystalline AlPt3Cl at its relaxed geometry, as listed in Alexandria.

The space group is Pm-3m (No. 221) and the conventional cell measures 4.5850, 4.5850 and 4.5850 Å, with angles of 90.00, 90.00 and 90.00 degrees. The asymmetric unit holds Al at (0.0000, 0.0000, 0.0000), Pt at (0.0000, 0.5000, 0.5000) and Cl at (0.5000, 0.5000, 0.5000).

The energy above the most stable polymorph in this dataset is 1.43 eV/f.u. As for the uncorrected formation energy: 0.9215 eV per atom.

# 3
First-principles (PBE) data for crystalline AlPt2Cl at its relaxed geometry, as listed in Alexandria.

The space group is P2/m (No. 10) and the conventional cell measures 3.2074, 2.9980 and 7.1686 Å, with angles of 90.00, 90.18 and 90.00 degrees. The asymmetric unit holds Al at (0.0000, 0.0000, 0.0000), Pt at (0.4988, 0.5000, 0.8066) and Cl at (0.5000, 0.0000, 0.5000).

The energy above the most stable polymorph in this dataset is 0.00 eV/f.u. As for the uncorrected formation energy: -0.5172 eV per atom.

- What is the energy above the most stable polymorph in this dataset in the second record?
  1.43 eV/f.u.